Record 1
An optimized crystal structure of La6Co3Pd. Source: the Alexandria database, functional PBE.

Geometry as POSCAR:
```
La6Co3Pd
1.0
-2.279 3.367 -0.087
-9.673 -6.499 1.883
5.195 3.794 10.498
La Co Pd
12 6 2
direct
0.250 0.406 0.561
0.750 0.594 0.439
0.250 0.910 0.070
0.750 0.090 0.930
0.250 0.938 0.605
0.750 0.062 0.395
0.250 0.745 0.280
0.750 0.255 0.720
0.250 0.547 0.889
0.750 0.453 0.111
0.249 0.248 0.232
0.751 0.752 0.768
0.250 0.167 0.552
0.750 0.833 0.448
0.250 0.501 0.283
0.750 0.499 0.717
0.250 0.910 0.839
0.750 0.090 0.161
0.250 0.298 0.930
0.750 0.702 0.070
```

Values from the calculation:
Calculated formation energy = -2.33 eV per formula unit

***

Record 2
An optimized crystal structure of La3CoPd. Source: the Alexandria database, functional PBE.

Geometry as POSCAR:
```
La3CoPd
1.0
-4.696 -0.212 2.337
2.314 -1.280 4.534
0.387 5.086 1.238
Co Pd La
1 1 3
direct
0.000 0.000 0.000
0.500 0.500 0.500
0.000 0.500 0.000
0.000 0.000 0.500
0.500 0.000 0.000
```

Values from the calculation:
Calculated formation energy = -0.69 eV per formula unit
Excess energy over the best structure of this formula in the dataset = 233 meV per atom

***

Record 3
An optimized crystal structure of La2Co2Pd. Source: the Alexandria database, functional PBE.

Geometry as POSCAR:
```
La2Co2Pd
1.0
3.487 0.000 0.000
0.000 3.487 0.000
1.743 1.743 8.694
Co Pd La
2 1 2
direct
0.750 0.250 0.500
0.250 0.750 0.500
0.000 0.000 0.000
0.388 0.388 0.224
0.612 0.612 0.776
```

Values from the calculation:
Calculated formation energy = -0.73 eV per formula unit
Excess energy over the best structure of this formula in the dataset = 92 meV per atom

***

Record 4
An optimized crystal structure of LaCoPd2. Source: the Alexandria database, functional PBE.

Geometry as POSCAR:
```
LaCoPd2
1.0
1.247 -2.848 -3.612
2.868 -3.725 0.783
-1.731 -4.434 -0.246
Co Pd La
1 2 1
direct
0.000 0.000 0.000
0.250 0.250 0.250
0.750 0.750 0.750
0.500 0.500 0.500
```

Values from the calculation:
Calculated formation energy = -0.65 eV per formula unit

***

Record 5
An optimized crystal structure of La12Co6Pd. Source: the Alexandria database, functional PBE.

Geometry as POSCAR:
```
La12Co6Pd
1.0
-4.356 6.683 -3.458
0.290 -6.542 -5.720
-4.028 -2.652 7.234
La Co Pd
12 6 1
direct
0.309 0.123 0.814
0.309 0.496 0.186
0.691 0.504 0.814
0.691 0.877 0.186
0.123 0.814 0.309
0.496 0.186 0.309
0.504 0.814 0.691
0.877 0.186 0.691
0.814 0.309 0.123
0.186 0.309 0.496
0.814 0.691 0.504
0.186 0.691 0.877
0.374 0.500 0.874
0.626 0.500 0.126
0.500 0.874 0.374
0.500 0.126 0.626
0.874 0.374 0.500
0.126 0.626 0.500
0.000 0.000 0.000
```

Values from the calculation:
Calculated formation energy = -3.14 eV per formula unit

***

Record 6
An optimized crystal structure of La8Co2Pd3. Source: the Alexandria database, functional PBE.

Geometry as POSCAR:
```
La8Co2Pd3
1.0
6.570 0.026 2.051
1.222 7.209 4.295
-0.056 0.087 8.480
La Co Pd
8 2 3
direct
0.766 0.635 0.635
0.234 0.365 0.365
0.760 0.130 0.130
0.240 0.870 0.870
0.763 0.618 0.110
0.763 0.110 0.618
0.237 0.890 0.382
0.237 0.382 0.890
0.997 0.252 0.252
0.003 0.748 0.748
0.500 0.000 0.000
0.000 0.254 0.746
0.000 0.746 0.254
```

Values from the calculation:
Calculated formation energy = -4.85 eV per formula unit

***

Record 7
An optimized crystal structure of La6Co2Pd. Source: the Alexandria database, functional PBE.

Geometry as POSCAR:
```
La6Co2Pd
1.0
6.638 0.000 0.000
0.000 6.188 -3.573
0.000 0.000 7.146
La Co Pd
6 2 1
direct
0.271 0.648 0.000
0.271 0.352 0.352
0.271 0.000 0.648
0.729 0.352 0.000
0.729 0.648 0.648
0.729 0.000 0.352
0.500 0.333 0.667
0.500 0.667 0.333
0.500 0.000 0.000
```

Values from the calculation:
Calculated formation energy = -1.97 eV per formula unit

***

Record 8
An optimized crystal structure of La8Co3Pd. Source: the Alexandria database, functional PBE.

Geometry as POSCAR:
```
La8Co3Pd
1.0
5.459 0.001 -1.608
-0.781 8.545 -2.658
-0.336 -0.097 8.937
La Co Pd
8 3 1
direct
0.451 0.646 0.901
0.346 0.015 0.692
0.882 0.316 0.764
0.223 0.315 0.445
0.771 0.660 0.543
0.112 0.695 0.223
0.560 0.345 0.120
0.660 0.005 0.319
0.394 0.306 0.787
0.710 0.305 0.421
0.608 0.688 0.216
0.282 0.673 0.565
```

Values from the calculation:
Calculated formation energy = -1.39 eV per formula unit